# PBE Hf2Te2O5, optimized geometry
data_Hf2Te2O5
_cell_length_a 3.9186
_cell_length_b 3.9186
_cell_length_c 8.3694
_cell_angle_alpha 90.00
_cell_angle_beta 90.00
_cell_angle_gamma 90.00
_symmetry_space_group_name_H-M 'P 4/m m m'
_symmetry_Int_Tables_number 123
_symmetry_space_group_name_Hall '-P 4 2'
loop_
_atom_site_label
_atom_site_fract_x
_atom_site_fract_y
_atom_site_fract_z
_atom_site_occupancy
Hf1 0.0000 0.0000 0.2470 1
Te1 0.5000 0.5000 0.0000 1
Te2 0.5000 0.5000 0.5000 1
O1 0.0000 0.0000 0.5000 1
O2 0.0000 0.5000 0.3178 1
# - energy relative to the lowest polymorph listed for this composition (meV per atom) = 0.0
# - crystal system = tetragonal